*w*
Here is a relaxed structure of Tl3InGe from the Alexandria database. Energies are from PBE-GGA.

The structure in CIF format:
```
data_Tl3InGe
_chemical_formula_sum 'Tl3 In1 Ge1'
_space_group_name_H-M_alt 'P 1'
_space_group_IT_number 1
_space_group_name_Hall 'P 1'
_cell_length_a 5.708
_cell_length_b 5.708
_cell_length_c 5.708
_cell_angle_alpha 90.00
_cell_angle_beta 90.00
_cell_angle_gamma 90.00
loop_
_atom_site_label
_atom_site_type_symbol
_atom_site_fract_x
_atom_site_fract_y
_atom_site_fract_z
_atom_site_occupancy
Tl1 Tl 0.000 0.500 0.000 1
Tl2 Tl 0.000 0.000 0.500 1
Tl3 Tl 0.500 0.000 0.000 1
Ge1 Ge 0.500 0.500 0.500 1
In1 In 0.000 0.000 0.000 1
```

---

*x*
Here is a relaxed structure of Tl3InGe from the Alexandria database. Energies are from PBE-GGA.

The structure in CIF format:
```
data_Tl3InGe
_chemical_formula_sum 'Tl3 In1 Ge1'
_space_group_name_H-M_alt 'P 1'
_space_group_IT_number 1
_space_group_name_Hall 'P 1'
_cell_length_a 5.599
_cell_length_b 5.599
_cell_length_c 5.599
_cell_angle_alpha 90.00
_cell_angle_beta 90.00
_cell_angle_gamma 90.00
loop_
_atom_site_label
_atom_site_type_symbol
_atom_site_fract_x
_atom_site_fract_y
_atom_site_fract_z
_atom_site_occupancy
Tl1 Tl 0.000 0.500 0.000 1
Tl2 Tl 0.000 0.000 0.500 1
Tl3 Tl 0.500 0.000 0.000 1
Ge1 Ge 0.000 0.000 0.000 1
In1 In 0.500 0.500 0.500 1
```

---

Stability check: which of them is most stable? *x*.

---

*w*
Here is a relaxed structure of TmInGe2 from the Alexandria database. Energies are from PBE-GGA.

The structure in CIF format:
```
data_TmInGe2
_chemical_formula_sum 'Tm1 In1 Ge2'
_space_group_name_H-M_alt 'P 1'
_space_group_IT_number 1
_space_group_name_Hall 'P 1'
_cell_length_a 4.617
_cell_length_b 4.617
_cell_length_c 7.791
_cell_angle_alpha 72.76
_cell_angle_beta 72.76
_cell_angle_gamma 60.00
loop_
_atom_site_label
_atom_site_type_symbol
_atom_site_fract_x
_atom_site_fract_y
_atom_site_fract_z
_atom_site_occupancy
Ge1 Ge 0.119 0.119 0.642 1
Ge2 Ge 0.881 0.881 0.358 1
Tm1 Tm 0.500 0.500 0.500 1
In1 In 0.000 0.000 0.000 1
```

---

*x*
Here is a relaxed structure of TmInGe2 from the Alexandria database. Energies are from PBE-GGA.

The structure in CIF format:
```
data_TmInGe2
_chemical_formula_sum 'Tm1 In1 Ge2'
_space_group_name_H-M_alt 'P 1'
_space_group_IT_number 1
_space_group_name_Hall 'P 1'
_cell_length_a 4.046
_cell_length_b 4.594
_cell_length_c 4.594
_cell_angle_alpha 90.00
_cell_angle_beta 90.00
_cell_angle_gamma 90.00
loop_
_atom_site_label
_atom_site_type_symbol
_atom_site_fract_x
_atom_site_fract_y
_atom_site_fract_z
_atom_site_occupancy
Ge1 Ge 0.000 0.000 0.500 1
Ge2 Ge 0.000 0.500 0.000 1
Tm1 Tm 0.500 0.500 0.500 1
In1 In 0.500 0.000 0.000 1
```

---

Stability check: which of them is most stable? *x*.

---

*w*
Here is a relaxed structure of In3GeW from the Alexandria database. Energies are from PBE-GGA.

The structure in CIF format:
```
data_In3GeW
_chemical_formula_sum 'In3 Ge1 W1'
_space_group_name_H-M_alt 'P 1'
_space_group_IT_number 1
_space_group_name_Hall 'P 1'
_cell_length_a 5.298
_cell_length_b 5.298
_cell_length_c 5.298
_cell_angle_alpha 90.00
_cell_angle_beta 90.00
_cell_angle_gamma 90.00
loop_
_atom_site_label
_atom_site_type_symbol
_atom_site_fract_x
_atom_site_fract_y
_atom_site_fract_z
_atom_site_occupancy
Ge1 Ge 0.500 0.500 0.500 1
W1 W 0.000 0.000 0.000 1
In1 In 0.000 0.500 0.000 1
In2 In 0.000 0.000 0.500 1
In3 In 0.500 0.000 0.000 1
```

---

*x*
Here is a relaxed structure of In3GeW from the Alexandria database. Energies are from PBE-GGA.

The structure in CIF format:
```
data_In3GeW
_chemical_formula_sum 'In3 Ge1 W1'
_space_group_name_H-M_alt 'P 1'
_space_group_IT_number 1
_space_group_name_Hall 'P 1'
_cell_length_a 5.248
_cell_length_b 5.248
_cell_length_c 5.248
_cell_angle_alpha 90.00
_cell_angle_beta 90.00
_cell_angle_gamma 90.00
loop_
_atom_site_label
_atom_site_type_symbol
_atom_site_fract_x
_atom_site_fract_y
_atom_site_fract_z
_atom_site_occupancy
Ge1 Ge 0.000 0.000 0.000 1
W1 W 0.500 0.500 0.500 1
In1 In 0.000 0.500 0.000 1
In2 In 0.000 0.000 0.500 1
In3 In 0.500 0.000 0.000 1
```

---

Stability check: which of them is most stable? *w*.

---

*w*
Here is a relaxed structure of InGeW3 from the Alexandria database. Energies are from PBE-GGA.

The structure in CIF format:
```
data_InGeW3
_chemical_formula_sum 'In1 Ge1 W3'
_space_group_name_H-M_alt 'P 1'
_space_group_IT_number 1
_space_group_name_Hall 'P 1'
_cell_length_a 4.642
_cell_length_b 4.642
_cell_length_c 4.642
_cell_angle_alpha 90.00
_cell_angle_beta 90.00
_cell_angle_gamma 90.00
loop_
_atom_site_label
_atom_site_type_symbol
_atom_site_fract_x
_atom_site_fract_y
_atom_site_fract_z
_atom_site_occupancy
Ge1 Ge 0.000 0.000 0.000 1
W1 W 0.000 0.500 0.000 1
W2 W 0.000 0.000 0.500 1
W3 W 0.500 0.000 0.000 1
In1 In 0.500 0.500 0.500 1
```

---

*x*
Here is a relaxed structure of InGeW3 from the Alexandria database. Energies are from PBE-GGA.

The structure in CIF format:
```
data_InGeW3
_chemical_formula_sum 'In1 Ge1 W3'
_space_group_name_H-M_alt 'P 1'
_space_group_IT_number 1
_space_group_name_Hall 'P 1'
_cell_length_a 4.892
_cell_length_b 4.892
_cell_length_c 4.892
_cell_angle_alpha 90.00
_cell_angle_beta 90.00
_cell_angle_gamma 90.00
loop_
_atom_site_label
_atom_site_type_symbol
_atom_site_fract_x
_atom_site_fract_y
_atom_site_fract_z
_atom_site_occupancy
Ge1 Ge 0.500 0.500 0.500 1
W1 W 0.000 0.500 0.000 1
W2 W 0.000 0.000 0.500 1
W3 W 0.500 0.000 0.000 1
In1 In 0.000 0.000 0.000 1
```

---

Stability check: which of them is most stable? *w*.